(1)
Material: KCu3Cl6
Method: DFT, PBE-GGA
State: relaxed

Properties
Space-group type = Cmmm, No. 65
Calculated total energy = -31.97 eV per cell
E above lowest polymorph = 0.34 eV/f.u.
Raw formation energy = -0.7503 eV per atom

The structure in POSCAR format:
```
KCu3Cl6
1.0
-1.183 -0.268 3.780
-1.006 -7.712 -0.862
7.221 1.836 2.390
K Cu Cl
1 3 6
Direct
0.000 0.500 0.500 K
0.500 0.500 0.000 Cu
0.000 0.000 0.000 Cu
0.500 0.000 0.500 Cu
0.000 0.062 0.311 Cl
0.000 0.938 0.689 Cl
0.000 0.311 0.062 Cl
0.000 0.689 0.938 Cl
0.500 0.687 0.313 Cl
0.500 0.313 0.687 Cl
```

(2)
Material: BaCaCd3
Method: DFT, PBE-GGA
State: relaxed

Properties
Calculated formation energy = 0.09 eV per atom
Space-group type = Pm-3m, No. 221
Calculated total energy = -6.22 eV per cell
E above lowest polymorph = 2.02 eV/f.u.

The structure in POSCAR format:
```
BaCaCd3
1.0
5.843 0.000 0.000
0.000 5.843 0.000
0.000 0.000 5.843
Ca Ba Cd
1 1 3
Direct
0.000 0.000 0.000 Ca
0.500 0.500 0.500 Ba
0.000 0.500 0.000 Cd
0.000 0.000 0.500 Cd
0.500 0.000 0.000 Cd
```

(3)
Material: Hf2ZnTe
Method: DFT, PBE-GGA
State: relaxed

Properties
Space-group type = I-42d, No. 122
Calculated total energy = -44.14 eV per cell
E above lowest polymorph = 2.63 eV/f.u.
Raw formation energy = 0.5632 eV per atom

The structure in POSCAR format:
```
Hf2ZnTe
1.0
-3.777 2.664 3.693
-4.551 -2.061 -3.168
-4.324 -5.251 4.105
Zn Te Hf
2 2 4
Direct
0.500 0.500 0.000 Zn
0.250 0.750 0.500 Zn
0.000 0.000 0.000 Te
0.750 0.250 0.500 Te
0.573 0.125 0.250 Hf
0.177 0.625 0.250 Hf
0.375 0.427 0.750 Hf
0.875 0.823 0.750 Hf
```

(4)
Material: Na12TlPb2
Method: DFT, PBE-GGA
State: relaxed

Properties
Calculated formation energy = 0.07 eV per atom
Space-group type = P4/nbm, No. 125
Calculated total energy = -49.14 eV per cell

The structure in POSCAR format:
```
Na12TlPb2
1.0
-2.390 0.830 -6.263
-6.235 -1.395 2.194
-3.613 23.131 4.444
Na Tl Pb
24 2 4
Direct
0.500 0.500 0.807 Na
0.000 0.000 0.807 Na
0.750 0.750 0.911 Na
0.250 0.750 0.911 Na
0.000 0.000 0.321 Na
0.250 0.750 0.089 Na
0.820 0.320 0.568 Na
0.500 0.500 0.321 Na
0.250 0.250 0.911 Na
0.750 0.750 0.089 Na
0.320 0.180 0.568 Na
0.680 0.180 0.432 Na
0.000 0.000 0.679 Na
0.180 0.320 0.432 Na
0.250 0.250 0.089 Na
0.820 0.680 0.432 Na
0.680 0.820 0.568 Na
0.000 0.000 0.193 Na
0.180 0.680 0.568 Na
0.500 0.500 0.679 Na
0.750 0.250 0.911 Na
0.500 0.500 0.193 Na
0.320 0.820 0.432 Na
0.750 0.250 0.089 Na
0.500 0.000 0.000 Tl
0.000 0.500 0.000 Tl
0.500 0.000 0.198 Pb
0.000 0.500 0.198 Pb
0.000 0.500 0.802 Pb
0.500 0.000 0.802 Pb
```

(5)
Material: NaHoS2
Method: DFT, PBE-GGA
State: relaxed

Properties
Space-group type = R-3m, No. 166
Calculated total energy = -21.56 eV per cell
Raw formation energy = -1.8521 eV per atom

The structure in POSCAR format:
```
NaHoS2
1.0
-5.509 -2.347 3.748
-6.138 -3.496 0.005
-3.677 -5.565 2.327
Na S Ho
1 2 1
Direct
0.500 0.500 0.500 Na
0.742 0.742 0.742 S
0.258 0.258 0.258 S
0.000 0.000 0.000 Ho
```

(6)
Material: NaAc2SeO5
Method: DFT, PBE-GGA
State: relaxed

Properties
Space-group type = I4/mcm, No. 140
Calculated total energy = -111.28 eV per cell
Raw formation energy = -1.9811 eV per atom

The structure in POSCAR format:
```
NaAc2SeO5
1.0
7.252 0.000 0.000
0.000 7.252 0.000
-3.626 -3.626 6.141
Na Ac Se O
2 4 2 10
Direct
0.250 0.250 0.500 Na
0.750 0.750 0.500 Na
0.179 0.321 0.000 Ac
0.679 0.179 0.000 Ac
0.321 0.821 0.000 Ac
0.821 0.679 0.000 Ac
0.250 0.750 0.500 Se
0.750 0.250 0.500 Se
0.991 0.491 0.246 O
0.745 0.245 0.754 O
0.009 0.509 0.754 O
0.245 0.009 0.754 O
0.509 0.745 0.754 O
0.755 0.991 0.246 O
0.491 0.255 0.246 O
0.255 0.755 0.246 O
0.500 0.500 0.000 O
0.000 0.000 0.000 O
```

(7)
Material: CdAgRh2
Method: DFT, PBE-GGA
State: relaxed

Properties
Calculated formation energy = 0.10 eV per atom
Space-group type = C2/m, No. 12
Calculated total energy = -18.07 eV per cell

The structure in POSCAR format:
```
CdAgRh2
1.0
3.643 -3.324 0.314
3.802 -1.701 2.657
-2.258 -3.492 2.573
Cd Ag Rh
1 1 2
Direct
0.000 0.000 0.500 Cd
0.500 0.500 0.000 Ag
0.251 0.251 0.755 Rh
0.749 0.749 0.245 Rh
```

(8)
Material: ZnTe2SeI
Method: DFT, PBE-GGA
State: relaxed

Properties
Space-group type = P4/mmm, No. 123
Calculated total energy = -10.08 eV per cell
E above lowest polymorph = 0.00 eV/f.u.
Raw formation energy = 0.5026 eV per atom

The structure in POSCAR format:
```
ZnTe2SeI
1.0
-2.509 0.107 -4.961
3.251 -4.165 -1.734
-3.834 -3.766 1.858
I Zn Te Se
1 1 2 1
Direct
0.000 0.000 0.500 I
0.500 0.500 0.500 Zn
0.000 0.500 0.000 Te
0.500 0.000 0.000 Te
0.000 0.000 0.000 Se
```